# 1
This record from Alexandria describes crystalline Hg3P at its relaxed geometry. The functional is GGA-PBE.

Values from the calculation:
The value obtained for the formation energy is 311 meV/atom. The calculation puts the energy above the most stable polymorph in this dataset at 0.233 eV per atom. As for the density of states at the Fermi level: 2.09 states/eV per cell. The value obtained for the final energy is -1.268 eV per atom.

CIF file:
```
data_Hg3P
_chemical_formula_sum 'Hg3 P1'
_space_group_name_H-M_alt 'P 1'
_space_group_IT_number 1
_space_group_name_Hall 'P 1'
_cell_length_a 7.195
_cell_length_b 7.195
_cell_length_c 7.195
_cell_angle_alpha 150.61
_cell_angle_beta 147.67
_cell_angle_gamma 44.25
loop_
_atom_site_label
_atom_site_type_symbol
_atom_site_fract_x
_atom_site_fract_y
_atom_site_fract_z
Hg1 Hg 0.306 0.306 0.000
Hg2 Hg 0.694 0.694 0.000
Hg3 Hg 0.000 0.500 0.500
P1 P 0.500 0.000 0.500
```


# 2
This record from Alexandria describes crystalline Pm12Ge5Br2 at its relaxed geometry. The functional is GGA-PBE.

Values from the calculation:
As for the density of states at the Fermi level: 22.39 states/eV per cell. The value obtained for the final energy is -4.983 eV per atom.

CIF file:
```
data_Pm12Ge5Br2
_chemical_formula_sum 'Pm12 Ge5 Br2'
_space_group_name_H-M_alt 'P 1'
_space_group_IT_number 1
_space_group_name_Hall 'P 1'
_cell_length_a 7.646
_cell_length_b 9.318
_cell_length_c 9.265
_cell_angle_alpha 102.92
_cell_angle_beta 90.00
_cell_angle_gamma 114.22
loop_
_atom_site_label
_atom_site_type_symbol
_atom_site_fract_x
_atom_site_fract_y
_atom_site_fract_z
Pm1 Pm 0.988 0.976 0.193
Pm2 Pm 0.074 0.654 0.898
Pm3 Pm 0.579 0.654 0.898
Pm4 Pm 0.100 0.706 0.436
Pm5 Pm 0.606 0.706 0.436
Pm6 Pm 0.494 0.988 0.721
Pm7 Pm 0.506 0.012 0.279
Pm8 Pm 0.900 0.294 0.564
Pm9 Pm 0.394 0.294 0.564
Pm10 Pm 0.926 0.346 0.102
Pm11 Pm 0.421 0.346 0.102
Pm12 Pm 0.012 0.024 0.807
Ge1 Ge 0.301 0.602 0.646
Ge2 Ge 0.322 0.643 0.162
Ge3 Ge 0.000 0.000 0.500
Ge4 Ge 0.678 0.357 0.838
Ge5 Ge 0.699 0.398 0.354
Br1 Br 0.708 0.000 0.000
Br2 Br 0.292 0.000 0.000
```


# 3
This record from Alexandria describes crystalline NpGa2Fe at its relaxed geometry. The functional is GGA-PBE.

Values from the calculation:
The value obtained for the formation energy is -47 meV/atom. As for the density of states at the Fermi level: 4.35 states/eV per cell. The value obtained for the final energy is -6.912 eV per atom.

CIF file:
```
data_NpGa2Fe
_chemical_formula_sum 'Np1 Ga2 Fe1'
_space_group_name_H-M_alt 'P 1'
_space_group_IT_number 1
_space_group_name_Hall 'P 1'
_cell_length_a 2.636
_cell_length_b 2.636
_cell_length_c 8.661
_cell_angle_alpha 90.00
_cell_angle_beta 90.00
_cell_angle_gamma 90.00
loop_
_atom_site_label
_atom_site_type_symbol
_atom_site_fract_x
_atom_site_fract_y
_atom_site_fract_z
Np1 Np 0.500 0.500 0.500
Fe1 Fe 0.500 0.500 0.000
Ga1 Ga 0.000 0.000 0.782
Ga2 Ga 0.000 0.000 0.218
```


# 4
This record from Alexandria describes crystalline LiZrAs2 at its relaxed geometry. The functional is GGA-PBE.

Values from the calculation:
The value obtained for the formation energy is -811 meV/atom. The calculation puts the energy above the most stable polymorph in this dataset at 0.000 eV per atom. As for the density of states at the Fermi level: 3.88 states/eV per cell. The value obtained for the final energy is -5.751 eV per atom.

CIF file:
```
data_LiZrAs2
_chemical_formula_sum 'Li2 Zr2 As4'
_space_group_name_H-M_alt 'P 1'
_space_group_IT_number 1
_space_group_name_Hall 'P 1'
_cell_length_a 3.799
_cell_length_b 3.799
_cell_length_c 9.944
_cell_angle_alpha 90.00
_cell_angle_beta 90.00
_cell_angle_gamma 90.00
loop_
_atom_site_label
_atom_site_type_symbol
_atom_site_fract_x
_atom_site_fract_y
_atom_site_fract_z
Li1 Li 0.500 0.500 0.000
Li2 Li 0.000 0.000 0.000
Zr1 Zr 0.000 0.500 0.289
Zr2 Zr 0.500 0.000 0.711
As1 As 0.500 0.000 0.180
As2 As 0.000 0.500 0.820
As3 As 0.000 0.000 0.500
As4 As 0.500 0.500 0.500
```


Which of these has the highest final energy?
Hg3P


What is the final energy in the first record?
-1.268 eV per atom


Which of these has the highest final energy?
Hg3P


What is the final energy in the second record?
-4.983 eV per atom